Material: BeCu2MoP
Method: DFT, GGA-PBEsol
State: optimized geometry

Cell and atoms, written as CIF:
```
data_BeCu2MoP
_cell_length_a 4.543
_cell_length_b 4.543
_cell_length_c 4.263
_cell_angle_alpha 90.00
_cell_angle_beta 90.00
_cell_angle_gamma 90.00
_symmetry_space_group_name_H-M 'P 4/m m m'
_symmetry_Int_Tables_number 123
_symmetry_space_group_name_Hall '-P 4 2'
loop_
_atom_site_label
_atom_site_fract_x
_atom_site_fract_y
_atom_site_fract_z
Be1 0.000 0.000 0.000
Cu1 0.000 0.500 0.500
Mo1 0.000 0.000 0.500
P1 0.500 0.500 0.000
```

Calculated values
Calculated density   4.96 g/cm³
DFT formation energy   1.7985 eV per atom
Volume   88.0 Å³/cell
DOS(E_F)   0.67 states/eV/atom

---

Material: NaAs3W
Method: DFT, GGA-PBEsol
State: optimized geometry

Cell and atoms, written as CIF:
```
data_NaAs3W
_cell_length_a 4.743
_cell_length_b 4.743
_cell_length_c 4.743
_cell_angle_alpha 90.00
_cell_angle_beta 90.00
_cell_angle_gamma 90.00
_symmetry_space_group_name_H-M 'P m -3 m'
_symmetry_Int_Tables_number 221
_symmetry_space_group_name_Hall '-P 4 2 3'
loop_
_atom_site_label
_atom_site_fract_x
_atom_site_fract_y
_atom_site_fract_z
Na1 0.000 0.000 0.000
As1 0.000 0.000 0.500
W1 0.500 0.500 0.500
```

Calculated values
Calculated density   6.71 g/cm³
DFT formation energy   1.8714 eV per atom
Volume   106.7 Å³/cell
DOS(E_F)   0.59 states/eV/atom